Entry 1:
S4I2O15: optimized geometry, PBE-GGA.

**Energy**: -113.1 eV/f.u.
**Uncorrected formation energy**: -912 meV per atom
**Magnetization**: 0.0 μB per cell
**Density**: 3.0 g/cm3

```
data_S4I2O15
_cell_length_a 5.7885
_cell_length_b 6.7353
_cell_length_c 9.3476
_cell_angle_alpha 95.05
_cell_angle_beta 93.59
_cell_angle_gamma 107.46
_space_group_name_H-M_alt 'P 1'
_space_group_IT_number 1
_space_group_name_Hall 'P 1'
loop_
_atom_site_label
_atom_site_fract_x
_atom_site_fract_y
_atom_site_fract_z
S1 0.0000 0.0000 0.0000
S2 0.1706 0.4364 0.9319
S3 0.3469 0.9665 0.5637
S4 0.7402 0.4844 0.3534
I1 0.4632 0.4550 0.6553
I2 0.6893 0.0032 0.2734
O1 0.0556 0.5353 0.8325
O2 0.1083 0.9630 0.5989
O3 0.2271 0.5102 0.0817
O4 0.2390 0.9862 0.9866
O5 0.3620 0.9676 0.4022
O6 0.4011 0.3981 0.8719
O7 0.4614 0.8229 0.6231
O8 0.5076 0.4711 0.4266
O9 0.5465 0.1901 0.6355
O10 0.6501 0.2804 0.2333
O11 0.7825 0.6559 0.2634
O12 0.7824 0.8358 0.9489
O13 0.9372 0.4706 0.4486
O14 0.9681 0.1968 0.9175
O15 0.9975 0.0777 0.1658
```

***

Entry 2:
SiRh2Br: optimized geometry, PBE-GGA.

**Energy**: -23.1 eV/f.u.
**Uncorrected formation energy**: -314 meV per atom
**Magnetization**: 0.0 μB per cell
**Density**: 8.0 g/cm3

```
data_SiRh2Br
_cell_length_a 2.9660
_cell_length_b 2.9950
_cell_length_c 7.3033
_cell_angle_alpha 90.00
_cell_angle_beta 90.00
_cell_angle_gamma 90.00
_space_group_name_H-M_alt 'P 1'
_space_group_IT_number 1
_space_group_name_Hall 'P 1'
loop_
_atom_site_label
_atom_site_fract_x
_atom_site_fract_y
_atom_site_fract_z
Si1 0.0000 0.0000 0.0000
Rh1 0.5000 0.5000 0.1850
Rh2 0.5000 0.5000 0.8150
Br1 0.0000 0.5000 0.5000
```

***

Entry 3:
Er5In2Rh2: optimized geometry, PBE-GGA.

**Energy**: -48.4 eV/f.u.
**Magnetization**: 0.0 μB per cell
**Energy of formation**: -0.60 eV per atom
**Density**: 9.2 g/cm3

```
data_Er5In2Rh2
_cell_length_a 8.9832
_cell_length_b 8.9832
_cell_length_c 7.4313
_cell_angle_alpha 90.00
_cell_angle_beta 90.00
_cell_angle_gamma 49.59
_space_group_name_H-M_alt 'P 1'
_space_group_IT_number 1
_space_group_name_Hall 'P 1'
loop_
_atom_site_label
_atom_site_fract_x
_atom_site_fract_y
_atom_site_fract_z
Er1 0.0000 0.0000 0.0000
Er2 0.0548 0.7118 0.6663
Er3 0.2118 0.5548 0.1663
Er4 0.2882 0.9452 0.6663
Er5 0.4452 0.7882 0.1663
Er6 0.5000 0.5000 0.5000
Er7 0.5548 0.2118 0.8337
Er8 0.7118 0.0548 0.3337
Er9 0.7882 0.4452 0.8337
Er10 0.9452 0.2882 0.3337
In1 0.2214 0.2214 0.0000
In2 0.2786 0.2786 0.5000
In3 0.7214 0.7214 0.5000
In4 0.7786 0.7786 0.0000
Rh1 0.1341 0.8659 0.3649
Rh2 0.3659 0.6341 0.8649
Rh3 0.6341 0.3659 0.1351
Rh4 0.8659 0.1341 0.6351
```

***

Repeat the first record exactly.
S4I2O15: optimized geometry, PBE-GGA.

**Energy**: -113.1 eV/f.u.
**Uncorrected formation energy**: -912 meV per atom
**Magnetization**: 0.0 μB per cell
**Density**: 3.0 g/cm3

```
data_S4I2O15
_cell_length_a 5.7885
_cell_length_b 6.7353
_cell_length_c 9.3476
_cell_angle_alpha 95.05
_cell_angle_beta 93.59
_cell_angle_gamma 107.46
_space_group_name_H-M_alt 'P 1'
_space_group_IT_number 1
_space_group_name_Hall 'P 1'
loop_
_atom_site_label
_atom_site_fract_x
_atom_site_fract_y
_atom_site_fract_z
S1 0.0000 0.0000 0.0000
S2 0.1706 0.4364 0.9319
S3 0.3469 0.9665 0.5637
S4 0.7402 0.4844 0.3534
I1 0.4632 0.4550 0.6553
I2 0.6893 0.0032 0.2734
O1 0.0556 0.5353 0.8325
O2 0.1083 0.9630 0.5989
O3 0.2271 0.5102 0.0817
O4 0.2390 0.9862 0.9866
O5 0.3620 0.9676 0.4022
O6 0.4011 0.3981 0.8719
O7 0.4614 0.8229 0.6231
O8 0.5076 0.4711 0.4266
O9 0.5465 0.1901 0.6355
O10 0.6501 0.2804 0.2333
O11 0.7825 0.6559 0.2634
O12 0.7824 0.8358 0.9489
O13 0.9372 0.4706 0.4486
O14 0.9681 0.1968 0.9175
O15 0.9975 0.0777 0.1658
```

***

What did the third record say?
Er5In2Rh2: optimized geometry, PBE-GGA.

**Energy**: -48.4 eV/f.u.
**Magnetization**: 0.0 μB per cell
**Energy of formation**: -0.60 eV per atom
**Density**: 9.2 g/cm3

```
data_Er5In2Rh2
_cell_length_a 8.9832
_cell_length_b 8.9832
_cell_length_c 7.4313
_cell_angle_alpha 90.00
_cell_angle_beta 90.00
_cell_angle_gamma 49.59
_space_group_name_H-M_alt 'P 1'
_space_group_IT_number 1
_space_group_name_Hall 'P 1'
loop_
_atom_site_label
_atom_site_fract_x
_atom_site_fract_y
_atom_site_fract_z
Er1 0.0000 0.0000 0.0000
Er2 0.0548 0.7118 0.6663
Er3 0.2118 0.5548 0.1663
Er4 0.2882 0.9452 0.6663
Er5 0.4452 0.7882 0.1663
Er6 0.5000 0.5000 0.5000
Er7 0.5548 0.2118 0.8337
Er8 0.7118 0.0548 0.3337
Er9 0.7882 0.4452 0.8337
Er10 0.9452 0.2882 0.3337
In1 0.2214 0.2214 0.0000
In2 0.2786 0.2786 0.5000
In3 0.7214 0.7214 0.5000
In4 0.7786 0.7786 0.0000
Rh1 0.1341 0.8659 0.3649
Rh2 0.3659 0.6341 0.8649
Rh3 0.6341 0.3659 0.1351
Rh4 0.8659 0.1341 0.6351
```

***

What is the magnetization in the second record? 0.0 μB per cell